Crystalline BaYRh2 at its relaxed geometry, computed with PBE-GGA.

Output
M_tot, μB per formula unit: 0.004
Energy of formation, eV/atom: 0.132
D(E_F), states/eV/cell: 28.7
Raw total energy, Ry per atom: -0.4146

```
data_BaYRh2
_chemical_formula_sum 'Ba4 Y4 Rh8'
_cell_length_a 7.052
_cell_length_b 7.052
_cell_length_c 7.052
_cell_angle_alpha 90.00
_cell_angle_beta 90.00
_cell_angle_gamma 90.00
_symmetry_space_group_name_H-M 'F -4 3 m'
_symmetry_Int_Tables_number 216
_symmetry_space_group_name_Hall 'F -4 2 3'
loop_
_atom_site_label
_atom_site_fract_x
_atom_site_fract_y
_atom_site_fract_z
Ba1 0.000 0.000 0.000
Y1 0.250 0.250 0.750
Rh1 0.000 0.000 0.500
Rh2 0.250 0.250 0.250
```



Crystalline Tb4MgHg7 at its relaxed geometry, computed with PBE-GGA.

Output
M_tot, μB per formula unit: 0.000
Energy of formation, eV/atom: -0.309
D(E_F), states/eV/cell: 14.6
Raw total energy, Ry per atom: -0.1588

```
data_Tb4MgHg7
_chemical_formula_sum 'Tb8 Mg2 Hg14'
_cell_length_a 13.071
_cell_length_b 5.328
_cell_length_c 10.731
_cell_angle_alpha 90.00
_cell_angle_beta 121.02
_cell_angle_gamma 90.00
_symmetry_space_group_name_H-M 'C 1 2/m 1'
_symmetry_Int_Tables_number 12
_symmetry_space_group_name_Hall '-C 2y'
loop_
_atom_site_label
_atom_site_fract_x
_atom_site_fract_y
_atom_site_fract_z
Tb1 0.078 0.000 0.277
Tb2 0.236 0.000 0.816
Mg1 0.000 0.500 0.500
Hg1 0.000 0.000 0.500
Hg2 0.078 0.500 0.839
Hg3 0.139 0.000 0.035
Hg4 0.194 0.500 0.421
```